(1)
## Ba2P (PBE-GGA)

Data for a relaxed Ba2P crystal.

Lattice parameters (Å, degrees): 11.3612 11.3612 6.0494 90.00 90.00 120.00
Closest atoms and distances in Å follow each position.
Fractional positions:
Ba1 0.0000 0.0000 0.0000  2 Ba 3.02
Ba2 0.0000 0.0000 0.5000  2 Ba 3.02
Ba3 0.2083 0.4166 0.2500  2 P 3.13
Ba4 0.2083 0.7917 0.2500  2 P 3.13
Ba5 0.4166 0.2083 0.7500  2 P 3.13
Ba6 0.5834 0.7917 0.2500  2 P 3.13
Ba7 0.7917 0.2083 0.7500  2 P 3.13
Ba8 0.7917 0.5834 0.7500  2 P 3.13
P1 0.3333 0.6667 0.5691  1 P 2.19
P2 0.3333 0.6667 0.9309  1 P 2.19
P3 0.6667 0.3333 0.0691  1 P 2.19
P4 0.6667 0.3333 0.4309  1 P 2.19

Results
formation enthalpy at 0 K	-5	kJ/mol of formula units



(2)
## CrOs2Ru (PBE-GGA)

Data for a relaxed CrOs2Ru crystal.

Lattice parameters (Å, degrees): 5.2554 5.2554 5.2554 149.08 130.96 59.10
Closest atoms and distances in Å follow each position.
Fractional positions:
Cr1 0.0000 0.0000 0.0000  6 Os 2.45-2.59, 2 Ru 2.46
Os1 0.2202 0.7202 0.5000  2 Cr 2.45, 4 Ru 2.65
Os2 0.4902 0.4902 0.0000  4 Cr 2.59, 4 Os 2.80-2.84
Ru1 0.7783 0.2783 0.5000  2 Cr 2.46, 4 Os 2.65

Results
formation enthalpy at 0 K	136	kJ/mol of formula units